1.
ZrSn2HRu | PBE | optimized geometry

D(E_F): 0.795 states/eV/atom
VASP energy: -22.818 eV for the cell shown

Cell: 5.6870 4.7584 5.6870 Å, 90.00 90.00 90.00°
Fractional positions:
1 Ru 0.0000 0.5000 0.0000
2 Sn 0.0000 0.0000 0.5000
3 Sn 0.5000 0.0000 0.0000
4 Zr 0.0000 0.0000 0.0000
5 H 0.5000 0.5000 0.5000

2.
La2PmDy5Ho | PBE | optimized geometry

Energy of formation from the pure elements: 222 kJ/mol of formula units
D(E_F): 1.382 states/eV/atom
VASP energy: -79.777 eV for the cell shown

Cell: 8.6770 8.6770 10.0257 Å, 115.64 115.64 90.00°
Fractional positions:
1 La 0.1178 0.3822 0.0000
2 La 0.6178 0.1178 0.0000
3 La 0.3822 0.8822 0.0000
4 La 0.8822 0.6178 0.0000
5 Pm 0.2500 0.2500 0.5000
6 Pm 0.7500 0.7500 0.5000
7 Dy 0.9255 0.4255 0.2828
8 Dy 0.6427 0.1427 0.7172
9 Dy 0.0745 0.5745 0.7172
10 Dy 0.1427 0.0745 0.7172
11 Dy 0.5745 0.6427 0.7172
12 Dy 0.8573 0.9255 0.2828
13 Dy 0.4255 0.3573 0.2828
14 Dy 0.3573 0.8573 0.2828
15 Dy 0.5000 0.5000 0.0000
16 Dy 0.0000 0.0000 0.0000
17 Ho 0.2500 0.7500 0.5000
18 Ho 0.7500 0.2500 0.5000

3.
Tm2ZnS4 | PBE | optimized geometry

D(E_F): 0.000 states/eV/atom
VASP energy: -154.571 eV for the cell shown
Raw formation energy: -1.70 eV per atom
Excess energy over the best structure of this formula in the dataset: 0.000 eV/atom

Cell: 6.2920 7.7927 13.3916 Å, 90.00 90.00 90.00°
Fractional positions:
1 Tm 0.5029 0.7500 0.7651
2 Tm 0.0029 0.2500 0.7349
3 Tm 0.4971 0.2500 0.2349
4 Tm 0.9971 0.7500 0.2651
5 Tm 0.5000 0.5000 0.5000
6 Tm 0.0000 0.5000 0.0000
7 Tm 0.5000 0.0000 0.5000
8 Tm 0.0000 0.0000 0.0000
9 Zn 0.0886 0.7500 0.5916
10 Zn 0.5886 0.2500 0.9084
11 Zn 0.9114 0.2500 0.4084
12 Zn 0.4114 0.7500 0.0916
13 S 0.2425 0.5116 0.1683
14 S 0.7425 0.4884 0.3317
15 S 0.7575 0.0116 0.8317
16 S 0.2575 0.9884 0.6683
17 S 0.7575 0.4884 0.8317
18 S 0.2575 0.5116 0.6683
19 S 0.2425 0.9884 0.1683
20 S 0.7425 0.0116 0.3317
21 S 0.2548 0.7500 0.9290
22 S 0.7548 0.2500 0.5710
23 S 0.7452 0.2500 0.0710
24 S 0.2452 0.7500 0.4290
25 S 0.7772 0.7500 0.0903
26 S 0.2772 0.2500 0.4097
27 S 0.2228 0.2500 0.9097
28 S 0.7228 0.7500 0.5903

4.
LaEuAlGa | PBE | optimized geometry

Energy of formation from the pure elements: -147 kJ/mol of formula units
D(E_F): 1.940 states/eV/atom
VASP energy: -23.495 eV for the cell shown

Cell: 5.3465 5.3465 5.3465 Å, 60.00 60.00 60.00°
Fractional positions:
1 Eu 0.5000 0.5000 0.5000
2 Al 0.7500 0.7500 0.7500
3 Ga 0.2500 0.2500 0.2500
4 La 0.0000 0.0000 0.0000

5.
Tl2In5Pd12 | PBE | optimized geometry

Energy of formation from the pure elements: -595 kJ/mol of formula units
D(E_F): 0.467 states/eV/atom
VASP energy: -86.904 eV for the cell shown

Cell: 9.4049 8.6179 5.2258 Å, 103.19 90.00 123.07°
Fractional positions:
1 Tl 0.7758 0.0000 0.0000
2 Tl 0.2242 0.0000 0.0000
3 In 0.2238 0.4477 0.4951
4 In 0.3591 0.7181 0.1265
5 In 0.0000 0.0000 0.5000
6 In 0.6409 0.2819 0.8735
7 In 0.7762 0.5523 0.5049
8 Pd 0.1563 0.3127 0.9456
9 Pd 0.0664 0.6028 0.7959
10 Pd 0.5364 0.6028 0.7959
11 Pd 0.1420 0.7954 0.3910
12 Pd 0.6535 0.7954 0.3910
13 Pd 0.4386 0.8771 0.6938
14 Pd 0.5614 0.1229 0.3062
15 Pd 0.8580 0.2046 0.6090
16 Pd 0.3465 0.2046 0.6090
17 Pd 0.9336 0.3972 0.2041
18 Pd 0.4636 0.3972 0.2041
19 Pd 0.8437 0.6873 0.0544

6.
Cr2CoAu | PBE | optimized geometry

Energy of formation from the pure elements: 90 kJ/mol of formula units
D(E_F): 1.153 states/eV/atom
VASP energy: -28.701 eV for the cell shown
Excess energy over the best structure of this formula in the dataset: 0.067 eV/atom

Cell: 4.6822 4.6822 4.6822 Å, 133.44 133.48 67.93°
Fractional positions:
1 Au 0.7500 0.2500 0.5000
2 Co 0.2500 0.7500 0.5000
3 Cr 0.9999 0.9999 0.0000
4 Cr 0.5001 0.5001 0.0000

Question: Which of these has the lowest VASP energy?
Answer: Tm2ZnS4